# NbRh3O, single point on PBEsol structure, DFT meta-GGA SCAN
data_NbRh3O
_cell_length_a 4.659
_cell_length_b 4.659
_cell_length_c 4.659
_cell_angle_alpha 90.00
_cell_angle_beta 90.00
_cell_angle_gamma 90.00
_space_group_name_H-M_alt 'P 1'
_space_group_IT_number 1
_space_group_name_Hall 'P 1'
loop_
_atom_site_label
_atom_site_fract_x
_atom_site_fract_y
_atom_site_fract_z
_atom_site_occupancy
Nb1 0.000 0.000 0.000 1
Rh1 0.000 0.000 0.500 1
Rh2 0.000 0.500 0.000 1
Rh3 0.500 0.000 0.000 1
O1 0.500 0.500 0.500 1
# * theoretical density: 6.86 g cm⁻³
# * DOS(E_F): 0.747 states/eV per atom
# * volume: 101.1 Å³ per cell
# * E_tot: -26.431 eV per atom


# NbTe2RhO, single point on PBEsol structure, DFT meta-GGA SCAN
data_NbTe2RhO
_cell_length_a 4.887
_cell_length_b 4.887
_cell_length_c 3.879
_cell_angle_alpha 90.00
_cell_angle_beta 90.00
_cell_angle_gamma 90.00
_space_group_name_H-M_alt 'P 1'
_space_group_IT_number 1
_space_group_name_Hall 'P 1'
loop_
_atom_site_label
_atom_site_fract_x
_atom_site_fract_y
_atom_site_fract_z
_atom_site_occupancy
Nb1 0.000 0.000 0.000 1
Te1 0.000 0.500 0.500 1
Te2 0.500 0.000 0.500 1
Rh1 0.500 0.500 0.000 1
O1 0.000 0.000 0.500 1
# * theoretical density: 8.37 g cm⁻³
# * DOS(E_F): 0.715 states/eV per atom
# * volume: 92.6 Å³ per cell
# * E_tot: -29.448 eV per atom


# NbS2O, single point on PBEsol structure, DFT meta-GGA SCAN
data_NbS2O
_cell_length_a 3.111
_cell_length_b 3.111
_cell_length_c 22.118
_cell_angle_alpha 90.00
_cell_angle_beta 90.00
_cell_angle_gamma 120.00
_space_group_name_H-M_alt 'P 1'
_space_group_IT_number 1
_space_group_name_Hall 'P 1'
loop_
_atom_site_label
_atom_site_fract_x
_atom_site_fract_y
_atom_site_fract_z
_atom_site_occupancy
Nb1 0.000 0.000 0.000 1
Nb2 0.333 0.667 0.667 1
Nb3 0.667 0.333 0.333 1
S1 0.000 0.000 0.102 1
S2 0.000 0.000 0.898 1
S3 0.333 0.667 0.564 1
S4 0.333 0.667 0.769 1
S5 0.667 0.333 0.231 1
S6 0.667 0.333 0.436 1
O1 0.000 0.000 0.500 1
O2 0.333 0.667 0.167 1
O3 0.667 0.333 0.833 1
# * theoretical density: 4.65 g cm⁻³
# * DOS(E_F): 0.745 states/eV per atom
# * volume: 185.4 Å³ per cell
# * E_tot: -13.875 eV per atom


# Sm3NbS3O4, single point on PBEsol structure, DFT meta-GGA SCAN
data_Sm3NbS3O4
_cell_length_a 6.632
_cell_length_b 14.093
_cell_length_c 7.644
_cell_angle_alpha 90.00
_cell_angle_beta 90.00
_cell_angle_gamma 90.00
_space_group_name_H-M_alt 'P 1'
_space_group_IT_number 1
_space_group_name_Hall 'P 1'
loop_
_atom_site_label
_atom_site_fract_x
_atom_site_fract_y
_atom_site_fract_z
_atom_site_occupancy
Sm1 0.216 0.156 0.000 1
Sm2 0.221 0.917 0.757 1
Sm3 0.228 0.172 0.510 1
Sm4 0.272 0.672 0.010 1
Sm5 0.279 0.417 0.257 1
Sm6 0.284 0.656 0.500 1
Sm7 0.716 0.344 0.000 1
Sm8 0.721 0.583 0.757 1
Sm9 0.728 0.328 0.510 1
Sm10 0.772 0.828 0.010 1
Sm11 0.779 0.083 0.257 1
Sm12 0.784 0.844 0.500 1
Nb1 0.181 0.926 0.241 1
Nb2 0.319 0.426 0.741 1
Nb3 0.681 0.574 0.241 1
Nb4 0.819 0.074 0.741 1
S1 0.001 0.273 0.243 1
S2 0.031 0.491 0.535 1
S3 0.045 0.299 0.768 1
S4 0.455 0.799 0.268 1
S5 0.469 0.991 0.035 1
S6 0.499 0.773 0.743 1
S7 0.501 0.227 0.243 1
S8 0.531 0.009 0.535 1
S9 0.545 0.201 0.768 1
S10 0.955 0.701 0.268 1
S11 0.969 0.509 0.035 1
S12 0.999 0.727 0.743 1
O1 0.124 0.856 0.026 1
O2 0.126 0.886 0.477 1
O3 0.132 0.074 0.740 1
O4 0.142 0.063 0.264 1
O5 0.358 0.563 0.764 1
O6 0.368 0.574 0.240 1
O7 0.374 0.386 0.977 1
O8 0.376 0.356 0.526 1
O9 0.624 0.644 0.026 1
O10 0.626 0.614 0.477 1
O11 0.632 0.426 0.740 1
O12 0.642 0.437 0.264 1
O13 0.858 0.937 0.764 1
O14 0.868 0.926 0.240 1
O15 0.874 0.114 0.977 1
O16 0.876 0.144 0.526 1
# * theoretical density: 6.55 g cm⁻³
# * DOS(E_F): 0.000 states/eV per atom
# * volume: 714.5 Å³ per cell
# * E_tot: -22.965 eV per atom


# Sm2Nb2S7O30, single point on PBEsol structure, DFT meta-GGA SCAN
data_Sm2Nb2S7O30
_cell_length_a 12.825
_cell_length_b 12.825
_cell_length_c 7.104
_cell_angle_alpha 90.00
_cell_angle_beta 90.00
_cell_angle_gamma 90.00
_space_group_name_H-M_alt 'P 1'
_space_group_IT_number 1
_space_group_name_Hall 'P 1'
loop_
_atom_site_label
_atom_site_fract_x
_atom_site_fract_y
_atom_site_fract_z
_atom_site_occupancy
Sm1 0.197 0.303 0.406 1
Sm2 0.303 0.803 0.594 1
Sm3 0.697 0.197 0.594 1
Sm4 0.803 0.697 0.406 1
Nb1 0.138 0.638 0.981 1
Nb2 0.362 0.138 0.019 1
Nb3 0.638 0.862 0.019 1
Nb4 0.862 0.362 0.981 1
S1 0.000 0.500 0.345 1
S2 0.066 0.823 0.300 1
S3 0.123 0.377 0.893 1
S4 0.177 0.066 0.700 1
S5 0.323 0.566 0.300 1
S6 0.377 0.877 0.107 1
S7 0.434 0.323 0.700 1
S8 0.500 0.000 0.655 1
S9 0.566 0.677 0.700 1
S10 0.623 0.123 0.107 1
S11 0.677 0.434 0.300 1
S12 0.823 0.934 0.700 1
S13 0.877 0.623 0.893 1
S14 0.934 0.177 0.300 1
O1 0.008 0.358 0.867 1
O2 0.042 0.210 0.329 1
O3 0.065 0.076 0.727 1
O4 0.066 0.566 0.222 1
O5 0.067 0.433 0.461 1
O6 0.076 0.935 0.273 1
O7 0.106 0.770 0.121 1
O8 0.133 0.788 0.456 1
O9 0.142 0.492 0.867 1
O10 0.155 0.345 0.080 1
O11 0.177 0.323 0.742 1
O12 0.201 0.701 0.792 1
O13 0.210 0.958 0.671 1
O14 0.212 0.133 0.544 1
O15 0.230 0.106 0.879 1
O16 0.270 0.606 0.121 1
O17 0.288 0.633 0.456 1
O18 0.290 0.458 0.329 1
O19 0.299 0.201 0.208 1
O20 0.323 0.823 0.258 1
O21 0.345 0.845 0.920 1
O22 0.358 0.992 0.133 1
O23 0.367 0.288 0.544 1
O24 0.394 0.270 0.879 1
O25 0.424 0.435 0.727 1
O26 0.433 0.933 0.539 1
O27 0.434 0.066 0.778 1
O28 0.435 0.576 0.273 1
O29 0.458 0.710 0.671 1
O30 0.492 0.858 0.133 1
O31 0.508 0.142 0.133 1
O32 0.542 0.290 0.671 1
O33 0.565 0.424 0.273 1
O34 0.566 0.934 0.778 1
O35 0.567 0.067 0.539 1
O36 0.576 0.565 0.727 1
O37 0.606 0.730 0.879 1
O38 0.633 0.712 0.544 1
O39 0.642 0.008 0.133 1
O40 0.655 0.155 0.920 1
O41 0.677 0.177 0.258 1
O42 0.701 0.799 0.208 1
O43 0.710 0.542 0.329 1
O44 0.712 0.367 0.456 1
O45 0.730 0.394 0.121 1
O46 0.770 0.894 0.879 1
O47 0.788 0.867 0.544 1
O48 0.790 0.042 0.671 1
O49 0.799 0.299 0.792 1
O50 0.823 0.677 0.742 1
O51 0.845 0.655 0.080 1
O52 0.858 0.508 0.867 1
O53 0.867 0.212 0.456 1
O54 0.894 0.230 0.121 1
O55 0.924 0.065 0.273 1
O56 0.933 0.567 0.461 1
O57 0.934 0.434 0.222 1
O58 0.935 0.924 0.727 1
O59 0.958 0.790 0.329 1
O60 0.992 0.642 0.867 1
# * theoretical density: 3.38 g cm⁻³
# * DOS(E_F): 0.096 states/eV per atom
# * volume: 1168.6 Å³ per cell
# * E_tot: -11.971 eV per atom


# NbSbO4, single point on PBEsol structure, DFT meta-GGA SCAN
data_NbSbO4
_cell_length_a 5.564
_cell_length_b 4.939
_cell_length_c 11.818
_cell_angle_alpha 90.00
_cell_angle_beta 90.00
_cell_angle_gamma 90.00
_space_group_name_H-M_alt 'P 1'
_space_group_IT_number 1
_space_group_name_Hall 'P 1'
loop_
_atom_site_label
_atom_site_fract_x
_atom_site_fract_y
_atom_site_fract_z
_atom_site_occupancy
Nb1 0.109 0.014 0.000 1
Nb2 0.391 0.514 0.500 1
Nb3 0.609 0.486 0.000 1
Nb4 0.891 0.986 0.500 1
Sb1 0.036 0.456 0.253 1
Sb2 0.464 0.956 0.753 1
Sb3 0.536 0.044 0.253 1
Sb4 0.964 0.544 0.753 1
O1 0.070 0.693 0.434 1
O2 0.142 0.214 0.541 1
O3 0.147 0.836 0.838 1
O4 0.186 0.167 0.148 1
O5 0.314 0.667 0.648 1
O6 0.353 0.336 0.338 1
O7 0.358 0.714 0.041 1
O8 0.430 0.193 0.934 1
O9 0.570 0.807 0.434 1
O10 0.642 0.286 0.541 1
O11 0.647 0.664 0.838 1
O12 0.686 0.333 0.148 1
O13 0.814 0.833 0.648 1
O14 0.853 0.164 0.338 1
O15 0.858 0.786 0.041 1
O16 0.930 0.307 0.934 1
# * theoretical density: 5.70 g cm⁻³
# * DOS(E_F): 0.000 states/eV per atom
# * volume: 324.8 Å³ per cell
# * E_tot: -18.093 eV per atom


# NbSb2TeO, single point on PBEsol structure, DFT meta-GGA SCAN
data_NbSb2TeO
_cell_length_a 4.577
_cell_length_b 4.577
_cell_length_c 4.821
_cell_angle_alpha 90.00
_cell_angle_beta 90.00
_cell_angle_gamma 90.00
_space_group_name_H-M_alt 'P 1'
_space_group_IT_number 1
_space_group_name_Hall 'P 1'
loop_
_atom_site_label
_atom_site_fract_x
_atom_site_fract_y
_atom_site_fract_z
_atom_site_occupancy
Nb1 0.000 0.000 0.000 1
Sb1 0.000 0.500 0.500 1
Sb2 0.500 0.000 0.500 1
Te1 0.500 0.500 0.000 1
O1 0.500 0.500 0.500 1
# * theoretical density: 7.89 g cm⁻³
# * DOS(E_F): 0.573 states/eV per atom
# * volume: 101.0 Å³ per cell
# * E_tot: -30.037 eV per atom


# ScNbO2, single point on PBEsol structure, DFT meta-GGA SCAN
data_ScNbO2
_cell_length_a 3.012
_cell_length_b 3.012
_cell_length_c 20.105
_cell_angle_alpha 90.00
_cell_angle_beta 90.00
_cell_angle_gamma 120.00
_space_group_name_H-M_alt 'P 1'
_space_group_IT_number 1
_space_group_name_Hall 'P 1'
loop_
_atom_site_label
_atom_site_fract_x
_atom_site_fract_y
_atom_site_fract_z
_atom_site_occupancy
Sc1 0.000 0.000 0.000 1
Sc2 0.333 0.667 0.667 1
Sc3 0.667 0.333 0.333 1
Nb1 0.000 0.000 0.500 1
Nb2 0.333 0.667 0.167 1
Nb3 0.667 0.333 0.833 1
O1 0.000 0.000 0.101 1
O2 0.000 0.000 0.899 1
O3 0.333 0.667 0.565 1
O4 0.333 0.667 0.768 1
O5 0.667 0.333 0.232 1
O6 0.667 0.333 0.435 1
# * theoretical density: 5.36 g cm⁻³
# * DOS(E_F): 0.526 states/eV per atom
# * volume: 157.9 Å³ per cell
# * E_tot: -17.004 eV per atom